# 1
Density functional theory data (GGA-PBE) for a relaxed structure of Tb5Pm12Er.

a b c (Å): 10.607 10.607 5.998
angles (deg): 90.01 90.01 116.50
Fractional coordinates of all 18 atoms:
Tb1 0.000 0.000 0.000
Tb2 0.169 0.831 0.500
Tb3 0.332 0.668 0.000
Tb4 0.668 0.332 0.000
Tb5 0.831 0.169 0.500
Pm1 0.002 0.671 0.989
Pm2 0.161 0.161 0.490
Pm3 0.172 0.501 0.511
Pm4 0.329 0.998 0.011
Pm5 0.339 0.339 0.990
Pm6 0.499 0.828 0.489
Pm7 0.501 0.172 0.511
Pm8 0.661 0.661 0.010
Pm9 0.671 0.002 0.989
Pm10 0.828 0.499 0.489
Pm11 0.839 0.839 0.510
Pm12 0.998 0.329 0.011
Er1 0.500 0.500 0.500

Properties
Volume: 604.0 Å³/cell
SG: C2/m (12)
Formation energy: 2.0 eV per formula unit
Total DFT energy (no corrections): -4.60 eV per atom


# 2
Density functional theory data (GGA-PBE) for a relaxed structure of Tb2Pm8Er.

a b c (Å): 6.731 6.731 9.324
angles (deg): 103.56 103.56 67.15
Fractional coordinates of all 11 atoms:
Tb1 0.142 0.142 0.128
Tb2 0.858 0.858 0.872
Pm1 0.214 0.650 0.226
Pm2 0.309 0.309 0.502
Pm3 0.323 0.323 0.875
Pm4 0.350 0.786 0.774
Pm5 0.650 0.214 0.226
Pm6 0.677 0.677 0.125
Pm7 0.691 0.691 0.498
Pm8 0.786 0.350 0.774
Er1 0.000 0.000 0.500

Properties
Volume: 373.6 Å³/cell
SG: C2/m (12)
Formation energy: 1.3 eV per formula unit
Total DFT energy (no corrections): -4.59 eV per atom


- Among the records above, which one has the highest total DFT energy (no corrections)?
  Tb2Pm8Er


Copy entry 2 word for word.
Density functional theory data (GGA-PBE) for a relaxed structure of Tb2Pm8Er.

a b c (Å): 6.731 6.731 9.324
angles (deg): 103.56 103.56 67.15
Fractional coordinates of all 11 atoms:
Tb1 0.142 0.142 0.128
Tb2 0.858 0.858 0.872
Pm1 0.214 0.650 0.226
Pm2 0.309 0.309 0.502
Pm3 0.323 0.323 0.875
Pm4 0.350 0.786 0.774
Pm5 0.650 0.214 0.226
Pm6 0.677 0.677 0.125
Pm7 0.691 0.691 0.498
Pm8 0.786 0.350 0.774
Er1 0.000 0.000 0.500

Properties
Volume: 373.6 Å³/cell
SG: C2/m (12)
Formation energy: 1.3 eV per formula unit
Total DFT energy (no corrections): -4.59 eV per atom